K2AlIn4Ga3: optimized geometry, PBE-GGA.

Cell and atoms, written as extended XYZ:
```
10
Lattice="4.745 0.000 0.000 0.000 4.745 0.000 0.000 0.000 11.961" Properties=species:S:1:pos:R:3 pbc="T T T"
K 2.373 0.000 3.001
K 0.000 2.373 8.960
Al 2.373 2.373 5.981
In 2.373 2.373 0.000
In 0.000 0.000 0.000
In 2.373 0.000 7.580
In 0.000 2.373 4.381
Ga 0.000 0.000 5.981
Ga 2.373 0.000 10.322
Ga 0.000 2.373 1.639
```

The space-group type is P-4m2. Its uncorrected energy is -26.87 eV/cell.